1.
# NaPa2Ni2Se6 (PBE-GGA, optimized geometry)
data_NaPa2Ni2Se6
_chemical_formula_sum 'Na1 Pa2 Ni2 Se6'
_cell_length_a 7.186
_cell_length_b 7.294
_cell_length_c 7.404
_cell_angle_alpha 62.78
_cell_angle_beta 61.32
_cell_angle_gamma 62.00
_space_group_name_H-M_alt 'P -1'
_space_group_IT_number 2
loop_
_space_group_symop_operation_xyz
'x,y,z'
'-x,-y,-z'
loop_
_atom_site_label
_atom_site_fract_x
_atom_site_fract_y
_atom_site_fract_z
Na1 0.000 0.000 0.000
Pa1 0.334 0.994 0.332
Ni1 0.466 0.563 0.651
Se1 0.084 0.750 0.717
Se2 0.273 0.252 0.562
Se3 0.443 0.752 0.066
# Uncorrected formation energy: -0.96 eV per atom
# Total energy: -5.76 eV/atom
# Volume: 26.1 Å³ per atom



2.
# Na3Pa3NiSe8 (PBE-GGA, optimized geometry)
data_Na3Pa3NiSe8
_chemical_formula_sum 'Na6 Pa6 Ni2 Se16'
_cell_length_a 13.949
_cell_length_b 8.070
_cell_length_c 8.549
_cell_angle_alpha 90.00
_cell_angle_beta 122.91
_cell_angle_gamma 90.00
_space_group_name_H-M_alt 'C 1 2/m 1'
_space_group_IT_number 12
loop_
_space_group_symop_operation_xyz
'x,y,z'
'-x,-y,-z'
'-x,y,-z'
'x,-y,z'
'x+1/2,y+1/2,z'
'-x+1/2,-y+1/2,-z'
'-x+1/2,y+1/2,-z'
'x+1/2,-y+1/2,z'
loop_
_atom_site_label
_atom_site_fract_x
_atom_site_fract_y
_atom_site_fract_z
Na1 0.000 0.000 0.000
Na2 0.250 0.250 0.000
Pa1 0.000 0.500 0.500
Pa2 0.250 0.250 0.500
Ni1 0.000 0.000 0.500
Se1 0.007 0.239 0.283
Se2 0.230 0.000 0.716
Se3 0.247 0.500 0.740
# Uncorrected formation energy: -1.10 eV per atom
# Total energy: -5.51 eV/atom
# Volume: 26.9 Å³ per atom



3.
# Na3Pa2NiSe6 (PBE-GGA, optimized geometry)
data_Na3Pa2NiSe6
_chemical_formula_sum 'Na6 Pa4 Ni2 Se12'
_cell_length_a 6.952
_cell_length_b 12.058
_cell_length_c 7.433
_cell_angle_alpha 90.00
_cell_angle_beta 108.19
_cell_angle_gamma 90.00
_space_group_name_H-M_alt 'C 1 2/m 1'
_space_group_IT_number 12
loop_
_space_group_symop_operation_xyz
'x,y,z'
'-x,-y,-z'
'-x,y,-z'
'x,-y,z'
'x+1/2,y+1/2,z'
'-x+1/2,-y+1/2,-z'
'-x+1/2,y+1/2,-z'
'x+1/2,-y+1/2,z'
loop_
_atom_site_label
_atom_site_fract_x
_atom_site_fract_y
_atom_site_fract_z
Na1 0.000 0.000 0.000
Na2 0.000 0.332 0.000
Pa1 0.000 0.166 0.500
Ni1 0.000 0.500 0.500
Se1 0.237 0.339 0.726
Se2 0.247 0.500 0.275
# Uncorrected formation energy: -1.08 eV per atom
# Total energy: -5.21 eV/atom
# Volume: 24.7 Å³ per atom



4.
# Na4Pa3NiSe8 (PBE-GGA, optimized geometry)
data_Na4Pa3NiSe8
_chemical_formula_sum 'Na8 Pa6 Ni2 Se16'
_cell_length_a 14.085
_cell_length_b 8.026
_cell_length_c 8.529
_cell_angle_alpha 90.00
_cell_angle_beta 123.50
_cell_angle_gamma 90.00
_space_group_name_H-M_alt 'C 1 2/m 1'
_space_group_IT_number 12
loop_
_space_group_symop_operation_xyz
'x,y,z'
'-x,-y,-z'
'-x,y,-z'
'x,-y,z'
'x+1/2,y+1/2,z'
'-x+1/2,-y+1/2,-z'
'-x+1/2,y+1/2,-z'
'x+1/2,-y+1/2,z'
loop_
_atom_site_label
_atom_site_fract_x
_atom_site_fract_y
_atom_site_fract_z
Na1 0.000 0.000 0.000
Na2 0.000 0.500 0.000
Na3 0.250 0.250 0.000
Pa1 0.000 0.000 0.500
Pa2 0.250 0.250 0.500
Ni1 0.000 0.500 0.500
Se1 0.006 0.263 0.278
Se2 0.241 0.500 0.730
Se3 0.246 0.000 0.741
# Uncorrected formation energy: -1.11 eV per atom
# Total energy: -5.32 eV/atom
# Volume: 25.1 Å³ per atom



5.
# NaPaNiSe4 (PBE-GGA, optimized geometry)
data_NaPaNiSe4
_chemical_formula_sum 'Na2 Pa2 Ni2 Se8'
_cell_length_a 6.938
_cell_length_b 5.769
_cell_length_c 8.634
_cell_angle_alpha 90.00
_cell_angle_beta 106.83
_cell_angle_gamma 90.00
_space_group_name_H-M_alt 'P 1 21/m 1'
_space_group_IT_number 11
loop_
_space_group_symop_operation_xyz
'x,y,z'
'-x,-y,-z'
'-x,y+1/2,-z'
'x,-y+1/2,z'
loop_
_atom_site_label
_atom_site_fract_x
_atom_site_fract_y
_atom_site_fract_z
Na1 0.229 0.250 0.443
Pa1 0.231 0.250 0.940
Ni1 0.247 0.750 0.171
Se1 0.058 0.750 0.356
Se2 0.074 0.750 0.898
Se3 0.483 0.507 0.776
# Uncorrected formation energy: -0.96 eV per atom
# Total energy: -5.32 eV/atom
# Volume: 23.6 Å³ per atom



6.
# Na2Pa2NiSe6 (PBE-GGA, optimized geometry)
data_Na2Pa2NiSe6
_chemical_formula_sum 'Na4 Pa4 Ni2 Se12'
_cell_length_a 6.798
_cell_length_b 12.343
_cell_length_c 7.477
_cell_angle_alpha 90.00
_cell_angle_beta 107.53
_cell_angle_gamma 90.00
_space_group_name_H-M_alt 'C 1 2/m 1'
_space_group_IT_number 12
loop_
_space_group_symop_operation_xyz
'x,y,z'
'-x,-y,-z'
'-x,y,-z'
'x,-y,z'
'x+1/2,y+1/2,z'
'-x+1/2,-y+1/2,-z'
'-x+1/2,y+1/2,-z'
'x+1/2,-y+1/2,z'
loop_
_atom_site_label
_atom_site_fract_x
_atom_site_fract_y
_atom_site_fract_z
Na1 0.000 0.164 0.000
Pa1 0.000 0.338 0.500
Ni1 0.000 0.000 0.500
Se1 0.230 0.000 0.292
Se2 0.240 0.171 0.723
# Uncorrected formation energy: -1.07 eV per atom
# Total energy: -5.47 eV/atom
# Volume: 27.2 Å³ per atom



7.
# NaNiPb2 (PBE-GGA, optimized geometry)
data_NaNiPb2
_chemical_formula_sum 'Na4 Ni4 Pb8'
_cell_length_a 5.472
_cell_length_b 5.472
_cell_length_c 16.636
_cell_angle_alpha 90.00
_cell_angle_beta 90.00
_cell_angle_gamma 90.00
_space_group_name_H-M_alt 'I -4 2 d'
_space_group_IT_number 122
_space_group_name_Hall 'I -4 2bw'
loop_
_atom_site_label
_atom_site_fract_x
_atom_site_fract_y
_atom_site_fract_z
Na1 0.000 0.000 0.000
Ni1 0.000 0.000 0.500
Pb1 0.139 0.250 0.625
# Total energy: -3.31 eV/atom
# E_form: 0.3218 eV/atom
# Volume: 31.1 Å³ per atom



8.
# NaNi2Pb (PBE-GGA, optimized geometry)
data_NaNi2Pb
_chemical_formula_sum 'Na4 Ni8 Pb4'
_cell_length_a 7.308
_cell_length_b 7.308
_cell_length_c 5.700
_cell_angle_alpha 90.00
_cell_angle_beta 90.00
_cell_angle_gamma 90.00
_space_group_name_H-M_alt 'I -4 2 d'
_space_group_IT_number 122
_space_group_name_Hall 'I -4 2bw'
loop_
_atom_site_label
_atom_site_fract_x
_atom_site_fract_y
_atom_site_fract_z
Na1 0.000 0.000 0.000
Ni1 0.229 0.250 0.625
Pb1 0.000 0.000 0.500
# Total energy: -3.59 eV/atom
# E_form: 0.5615 eV/atom
# Volume: 19.0 Å³ per atom



9.
# NaNiPb2 (PBE-GGA, optimized geometry)
data_NaNiPb2
_chemical_formula_sum 'Na2 Ni2 Pb4'
_cell_length_a 4.334
_cell_length_b 7.776
_cell_length_c 6.101
_cell_angle_alpha 90.00
_cell_angle_beta 110.38
_cell_angle_gamma 90.00
_space_group_name_H-M_alt 'P 1 21/m 1'
_space_group_IT_number 11
loop_
_space_group_symop_operation_xyz
'x,y,z'
'-x,-y,-z'
'-x,y+1/2,-z'
'x,-y+1/2,z'
loop_
_atom_site_label
_atom_site_fract_x
_atom_site_fract_y
_atom_site_fract_z
Na1 0.059 0.250 0.116
Ni1 0.216 0.750 0.427
Pb1 0.351 0.044 0.706
# Total energy: -3.65 eV/atom
# E_form: -0.0194 eV/atom
# Volume: 24.1 Å³ per atom



10.
# Na2Ni2Pb (PBE-GGA, optimized geometry)
data_Na2Ni2Pb
_chemical_formula_sum 'Na4 Ni4 Pb2'
_cell_length_a 6.537
_cell_length_b 6.537
_cell_length_c 4.883
_cell_angle_alpha 90.00
_cell_angle_beta 90.00
_cell_angle_gamma 90.00
_space_group_name_H-M_alt 'P 4/m b m'
_space_group_IT_number 127
_space_group_name_Hall '-P 4 2ab'
loop_
_atom_site_label
_atom_site_fract_x
_atom_site_fract_y
_atom_site_fract_z
Na1 0.171 0.329 0.000
Ni1 0.125 0.625 0.500
Pb1 0.000 0.000 0.500
# Total energy: -3.37 eV/atom
# E_form: 0.2107 eV/atom
# Volume: 20.9 Å³ per atom



11.
# NaNi3Pb (PBE-GGA, optimized geometry)
data_NaNi3Pb
_chemical_formula_sum 'Na1 Ni3 Pb1'
_cell_length_a 4.885
_cell_length_b 4.885
_cell_length_c 4.885
_cell_angle_alpha 90.00
_cell_angle_beta 90.00
_cell_angle_gamma 90.00
_space_group_name_H-M_alt 'P m -3 m'
_space_group_IT_number 221
_space_group_name_Hall '-P 4 2 3'
loop_
_atom_site_label
_atom_site_fract_x
_atom_site_fract_y
_atom_site_fract_z
Na1 0.000 0.000 0.000
Ni1 0.000 0.500 0.500
Pb1 0.500 0.500 0.500
# Total energy: -3.52 eV/atom
# E_form: 0.9534 eV/atom
# Volume: 23.3 Å³ per atom



12.
# NaNi4Pb (PBE-GGA, optimized geometry)
data_NaNi4Pb
_chemical_formula_sum 'Na4 Ni16 Pb4'
_cell_length_a 7.029
_cell_length_b 7.029
_cell_length_c 7.029
_cell_angle_alpha 90.00
_cell_angle_beta 90.00
_cell_angle_gamma 90.00
_space_group_name_H-M_alt 'F -4 3 m'
_space_group_IT_number 216
_space_group_name_Hall 'F -4 2 3'
loop_
_atom_site_label
_atom_site_fract_x
_atom_site_fract_y
_atom_site_fract_z
Na1 0.000 0.000 0.000
Ni1 0.125 0.125 0.375
Pb1 0.250 0.250 0.750
# Total energy: -4.56 eV/atom
# E_form: 0.1320 eV/atom
# Volume: 14.5 Å³ per atom



13.
# Na2NiPb (PBE-GGA, optimized geometry)
data_Na2NiPb
_chemical_formula_sum 'Na8 Ni4 Pb4'
_cell_length_a 9.338
_cell_length_b 9.338
_cell_length_c 5.049
_cell_angle_alpha 90.00
_cell_angle_beta 90.00
_cell_angle_gamma 90.00
_space_group_name_H-M_alt 'I -4 2 d'
_space_group_IT_number 122
_space_group_name_Hall 'I -4 2bw'
loop_
_atom_site_label
_atom_site_fract_x
_atom_site_fract_y
_atom_site_fract_z
Na1 0.146 0.250 0.125
Ni1 0.000 0.000 0.000
Pb1 0.000 0.000 0.500
# Total energy: -2.79 eV/atom
# E_form: 0.2446 eV/atom
# Volume: 27.5 Å³ per atom



14.
# NaNiPb2 (PBE-GGA, optimized geometry)
data_NaNiPb2
_chemical_formula_sum 'Na3 Ni3 Pb6'
_cell_length_a 4.3449
_cell_length_b 4.3449
_cell_length_c 19.4000
_cell_angle_alpha 90.00
_cell_angle_beta 90.00
_cell_angle_gamma 120.00
_space_group_name_H-M_alt 'R -3 m'
_space_group_IT_number 166
_space_group_name_Hall '-R 3 2"'
loop_
_atom_site_label
_atom_site_fract_x
_atom_site_fract_y
_atom_site_fract_z
Na1 0.0000 0.0000 0.0000
Ni1 0.0000 0.0000 0.5000
Pb1 0.0000 0.0000 0.2213
# Total energy: -3.59 eV/atom
# E_form: 0.0366 eV/atom
# Volume: 26.4 Å³ per atom



15.
# Na3NiPb (PBE-GGA, optimized geometry)
data_Na3NiPb
_chemical_formula_sum 'Na3 Ni1 Pb1'
_cell_length_a 5.875
_cell_length_b 5.875
_cell_length_c 5.875
_cell_angle_alpha 90.00
_cell_angle_beta 90.00
_cell_angle_gamma 90.00
_space_group_name_H-M_alt 'P m -3 m'
_space_group_IT_number 221
_space_group_name_Hall '-P 4 2 3'
loop_
_atom_site_label
_atom_site_fract_x
_atom_site_fract_y
_atom_site_fract_z
Na1 0.000 0.000 0.500
Ni1 0.500 0.500 0.500
Pb1 0.000 0.000 0.000
# Total energy: -1.86 eV/atom
# E_form: 0.8328 eV/atom
# Volume: 40.5 Å³ per atom



16.
# Na3NiPb (PBE-GGA, optimized geometry)
data_Na3NiPb
_chemical_formula_sum 'Na3 Ni1 Pb1'
_cell_length_a 5.264
_cell_length_b 5.264
_cell_length_c 5.264
_cell_angle_alpha 90.00
_cell_angle_beta 90.00
_cell_angle_gamma 90.00
_space_group_name_H-M_alt 'P m -3 m'
_space_group_IT_number 221
_space_group_name_Hall '-P 4 2 3'
loop_
_atom_site_label
_atom_site_fract_x
_atom_site_fract_y
_atom_site_fract_z
Na1 0.000 0.000 0.500
Ni1 0.000 0.000 0.000
Pb1 0.500 0.500 0.500
# Total energy: -2.21 eV/atom
# E_form: 0.4788 eV/atom
# Volume: 29.2 Å³ per atom



17.
# NaNiPb2 (PBE-GGA, optimized geometry)
data_NaNiPb2
_chemical_formula_sum 'Na3 Ni3 Pb6'
_cell_length_a 4.4255
_cell_length_b 4.4255
_cell_length_c 18.3034
_cell_angle_alpha 90.00
_cell_angle_beta 90.00
_cell_angle_gamma 120.00
_space_group_name_H-M_alt 'R 3 m'
_space_group_IT_number 160
_space_group_name_Hall 'R 3 -2"'
loop_
_atom_site_label
_atom_site_fract_x
_atom_site_fract_y
_atom_site_fract_z
Na1 0.0000 0.0000 0.0000
Ni1 0.0000 0.0000 0.1733
Pb1 0.0000 0.0000 0.5581
Pb2 0.0000 0.0000 0.7802
# Total energy: -3.61 eV/atom
# E_form: 0.0189 eV/atom
# Volume: 25.9 Å³ per atom



18.
# Na2NiPb (PBE-GGA, optimized geometry)
data_Na2NiPb
_chemical_formula_sum 'Na8 Ni4 Pb4'
_cell_length_a 7.110
_cell_length_b 7.110
_cell_length_c 7.110
_cell_angle_alpha 90.00
_cell_angle_beta 90.00
_cell_angle_gamma 90.00
_space_group_name_H-M_alt 'F m -3 m'
_space_group_IT_number 225
_space_group_name_Hall '-F 4 2 3'
loop_
_atom_site_label
_atom_site_fract_x
_atom_site_fract_y
_atom_site_fract_z
Na1 0.250 0.250 0.250
Ni1 0.000 0.000 0.000
Pb1 0.000 0.000 0.500
# Total energy: -2.67 eV/atom
# E_form: 0.3623 eV/atom
# Volume: 22.5 Å³ per atom



19.
# NaNiPb (PBE-GGA, optimized geometry)
data_NaNiPb
_chemical_formula_sum 'Na2 Ni2 Pb2'
_cell_length_a 3.945
_cell_length_b 5.606
_cell_length_c 6.981
_cell_angle_alpha 74.57
_cell_angle_beta 73.72
_cell_angle_gamma 69.51
_space_group_name_H-M_alt 'P 1'
_space_group_IT_number 1
loop_
_space_group_symop_operation_xyz
'x,y,z'
loop_
_atom_site_label
_atom_site_fract_x
_atom_site_fract_y
_atom_site_fract_z
Na1 0.000 0.000 0.000
Na2 0.258 0.024 0.459
Ni1 0.276 0.431 0.017
Ni2 0.501 0.322 0.677
Pb1 0.620 0.485 0.276
Pb2 0.807 0.633 0.753
# Total energy: -3.49 eV/atom
# E_form: 0.1144 eV/atom
# Volume: 22.7 Å³ per atom



20.
# NaPmNiPb (PBE-GGA, optimized geometry)
data_NaPmNiPb
_chemical_formula_sum 'Na4 Pm4 Ni4 Pb4'
_cell_length_a 6.974
_cell_length_b 6.974
_cell_length_c 6.974
_cell_angle_alpha 90.00
_cell_angle_beta 90.00
_cell_angle_gamma 90.00
_space_group_name_H-M_alt 'F -4 3 m'
_space_group_IT_number 216
_space_group_name_Hall 'F -4 2 3'
loop_
_atom_site_label
_atom_site_fract_x
_atom_site_fract_y
_atom_site_fract_z
Na1 0.000 0.000 0.000
Pm1 0.250 0.250 0.250
Ni1 0.000 0.000 0.500
Pb1 0.250 0.250 0.750
# Total energy: -4.05 eV/atom
# E_form: -0.1611 eV/atom
# Volume: 21.2 Å³ per atom



21.
# RbNa2NiPb (PBE-GGA, optimized geometry)
data_RbNa2NiPb
_chemical_formula_sum 'Rb1 Na2 Ni1 Pb1'
_cell_length_a 5.690
_cell_length_b 5.690
_cell_length_c 5.011
_cell_angle_alpha 90.00
_cell_angle_beta 90.00
_cell_angle_gamma 90.00
_space_group_name_H-M_alt 'P 4/m m m'
_space_group_IT_number 123
_space_group_name_Hall '-P 4 2'
loop_
_atom_site_label
_atom_site_fract_x
_atom_site_fract_y
_atom_site_fract_z
Rb1 0.000 0.000 0.000
Na1 0.000 0.500 0.500
Ni1 0.500 0.500 0.500
Pb1 0.500 0.500 0.000
# Total energy: -2.54 eV/atom
# E_form: 0.0782 eV/atom
# Volume: 32.4 Å³ per atom



22.
# Na2NiPbSe (PBE-GGA, optimized geometry)
data_Na2NiPbSe
_chemical_formula_sum 'Na2 Ni1 Pb1 Se1'
_cell_length_a 5.810
_cell_length_b 5.810
_cell_length_c 4.751
_cell_angle_alpha 90.00
_cell_angle_beta 90.00
_cell_angle_gamma 90.00
_space_group_name_H-M_alt 'P 4/m m m'
_space_group_IT_number 123
_space_group_name_Hall '-P 4 2'
loop_
_atom_site_label
_atom_site_fract_x
_atom_site_fract_y
_atom_site_fract_z
Na1 0.000 0.500 0.000
Ni1 0.000 0.000 0.500
Pb1 0.000 0.000 0.000
Se1 0.500 0.500 0.500
# Uncorrected formation energy: 0.44 eV per atom
# Total energy: -2.68 eV/atom
# Volume: 32.1 Å³ per atom



23.
# NaSr2NiPb (PBE-GGA, optimized geometry)
data_NaSr2NiPb
_chemical_formula_sum 'Na1 Sr2 Ni1 Pb1'
_cell_length_a 5.909
_cell_length_b 5.909
_cell_length_c 4.992
_cell_angle_alpha 90.00
_cell_angle_beta 90.00
_cell_angle_gamma 90.00
_space_group_name_H-M_alt 'P 4/m m m'
_space_group_IT_number 123
_space_group_name_Hall '-P 4 2'
loop_
_atom_site_label
_atom_site_fract_x
_atom_site_fract_y
_atom_site_fract_z
Na1 0.000 0.000 0.000
Sr1 0.000 0.500 0.500
Ni1 0.500 0.500 0.500
Pb1 0.500 0.500 0.000
# Total energy: -2.98 eV/atom
# E_form: -0.1412 eV/atom
# Volume: 34.9 Å³ per atom



24.
# NaSrNiPb2 (PBE-GGA, optimized geometry)
data_NaSrNiPb2
_chemical_formula_sum 'Na1 Sr1 Ni1 Pb2'
_cell_length_a 5.246
_cell_length_b 5.246
_cell_length_c 5.490
_cell_angle_alpha 90.00
_cell_angle_beta 90.00
_cell_angle_gamma 90.00
_space_group_name_H-M_alt 'P 4/m m m'
_space_group_IT_number 123
_space_group_name_Hall '-P 4 2'
loop_
_atom_site_label
_atom_site_fract_x
_atom_site_fract_y
_atom_site_fract_z
Na1 0.000 0.000 0.000
Sr1 0.500 0.500 0.000
Ni1 0.500 0.500 0.500
Pb1 0.000 0.500 0.500
# Total energy: -3.32 eV/atom
# E_form: -0.0826 eV/atom
# Volume: 30.2 Å³ per atom



25.
# NaTlNiPb2 (PBE-GGA, optimized geometry)
data_NaTlNiPb2
_chemical_formula_sum 'Na1 Tl1 Ni1 Pb2'
_cell_length_a 5.239
_cell_length_b 5.239
_cell_length_c 5.179
_cell_angle_alpha 90.00
_cell_angle_beta 90.00
_cell_angle_gamma 90.00
_space_group_name_H-M_alt 'P 4/m m m'
_space_group_IT_number 123
_space_group_name_Hall '-P 4 2'
loop_
_atom_site_label
_atom_site_fract_x
_atom_site_fract_y
_atom_site_fract_z
Na1 0.000 0.000 0.000
Tl1 0.500 0.500 0.000
Ni1 0.500 0.500 0.500
Pb1 0.000 0.500 0.500
# Total energy: -3.31 eV/atom
# E_form: 0.0658 eV/atom
# Volume: 28.4 Å³ per atom